Compound: Ce2Dy3S8
Source: Alexandria
Functional: PBE
Structure: optimized geometry

Summary:
Its raw formation energy is -1847 meV/atom. As for the total energy: -82.7 eV per cell.

Cell lengths 4.665, 9.618, 8.293 Å; angles 125.49, 90.00, 90.00 degrees
Positions (direct):
Dy1 0.000 0.719 0.000
Ce1 0.500 0.265 0.529
S1 0.000 0.882 0.764
S2 0.500 0.638 0.756
S3 0.000 0.625 0.250
Ce2 0.500 0.735 0.471
S4 0.000 0.375 0.750
S5 0.500 0.362 0.244
S6 0.000 0.118 0.236
S7 0.500 0.118 0.756
Dy2 0.000 0.281 0.000
S8 0.500 0.882 0.244
Dy3 0.500 0.000 0.000

Compound: CeDy2S3
Source: Alexandria
Functional: PBE
Structure: optimized geometry

Summary:
Its raw formation energy is -2012 meV/atom. As for the total energy: -39.6 eV per cell.

Cell lengths 3.925, 5.590, 6.848 Å; angles 114.09, 106.65, 90.00 degrees
Positions (direct):
S1 0.672 0.672 0.345
Dy1 0.335 0.835 0.669
Ce1 0.000 0.500 0.000
Dy2 0.665 0.165 0.331
S2 0.000 0.000 0.000
S3 0.328 0.328 0.655

Compound: Ce5Dy3S8
Source: Alexandria
Functional: PBE
Structure: optimized geometry

Summary:
Its raw formation energy is -2034 meV/atom. As for the total energy: -109.0 eV per cell.

Cell lengths 7.938, 7.938, 7.971 Å; angles 60.14, 60.14, 60.00 degrees
Positions (direct):
Ce1 0.500 0.000 0.000
Ce2 0.500 0.500 0.500
S1 0.246 0.246 0.261
Ce3 0.000 0.000 0.000
S2 0.250 0.250 0.742
S3 0.758 0.250 0.742
Dy1 0.500 0.000 0.500
S4 0.754 0.754 0.739
S5 0.242 0.750 0.258
Ce4 0.000 0.500 0.000
Dy2 0.000 0.500 0.500
S6 0.250 0.758 0.742
Dy3 0.000 0.000 0.500
S7 0.750 0.750 0.258
S8 0.750 0.242 0.258
Ce5 0.500 0.500 0.000

Compound: CeDyS2
Source: Alexandria
Functional: PBE
Structure: optimized geometry

Summary:
Its raw formation energy is -1925 meV/atom. As for the total energy: -26.5 eV per cell.

Cell lengths 3.857, 3.857, 7.342 Å; angles 74.77, 74.77, 60.00 degrees
Positions (direct):
Dy1 0.495 0.495 0.515
S1 0.247 0.247 0.259
S2 0.086 0.086 0.742
Ce1 0.672 0.672 0.985

- What is the raw formation energy in the first record?
  -1847 meV/atom

- The highest raw formation energy belongs to which entry?
  Ce2Dy3S8

- Among the records above, which one has the lowest raw formation energy?
  Ce5Dy3S8

Please write out number 2 again, unchanged.
Compound: CeDy2S3
Source: Alexandria
Functional: PBE
Structure: optimized geometry

Summary:
Its raw formation energy is -2012 meV/atom. As for the total energy: -39.6 eV per cell.

Cell lengths 3.925, 5.590, 6.848 Å; angles 114.09, 106.65, 90.00 degrees
Positions (direct):
S1 0.672 0.672 0.345
Dy1 0.335 0.835 0.669
Ce1 0.000 0.500 0.000
Dy2 0.665 0.165 0.331
S2 0.000 0.000 0.000
S3 0.328 0.328 0.655